A relaxed structure of CrTeW2, computed with PBE.

Results
* crystal system: monoclinic
* calculated total energy: -72.67 eV per cell

```
data_CrTeW2
_chemical_formula_sum 'Cr2 Te2 W4'
_symmetry_space_group_name_H-M 'C 1 2/m 1'
_symmetry_Int_Tables_number 12
_symmetry_space_group_name_Hall '-C 2y'
_cell_length_a 9.412
_cell_length_b 3.168
_cell_length_c 4.582
_cell_angle_alpha 90.00
_cell_angle_beta 101.06
_cell_angle_gamma 90.00
loop_
_atom_site_label
_atom_site_type_symbol
_atom_site_fract_x
_atom_site_fract_y
_atom_site_fract_z
Cr1 Cr 0.000 0.000 0.000
Te1 Te 0.000 0.500 0.500
W1 W 0.244 0.500 0.225
```